1.
The following is a DFT calculation (GGA-PBE) of an optimized crystal structure of Fe2TePb.

Density: 9.21 g cm⁻³
Total energy: -5.31 eV per atom

Cell lengths 3.8740, 3.8740, 10.7271 Å; angles 90.00, 90.00, 90.00 degrees
Last column: nearest neighbours and their distance in Å.
Fractional positions:
Fe 0.0000 0.0000 0.0000  4 Te 2.74
Fe 0.0000 0.5000 0.2500  4 Pb 2.74
Fe 0.5000 0.0000 0.7500  4 Pb 2.74
Fe 0.5000 0.5000 0.5000  4 Te 2.74
Te 0.0000 0.0000 0.5000  4 Fe 2.74
Te 0.5000 0.5000 0.0000  4 Fe 2.74
Pb 0.0000 0.5000 0.7500  4 Fe 2.74
Pb 0.5000 0.0000 0.2500  4 Fe 2.74


2.
The following is a DFT calculation (GGA-PBE) of an optimized crystal structure of Fe3TePb.

Density: 7.72 g cm⁻³
Total energy: -5.47 eV per atom

Cell lengths 4.7629, 4.7629, 4.7629 Å; angles 90.00, 90.00, 90.00 degrees
Last column: nearest neighbours and their distance in Å.
Fractional positions:
Fe 0.0000 0.0000 0.5000  2 Te 2.38
Fe 0.0000 0.5000 0.0000  2 Te 2.38
Fe 0.5000 0.0000 0.0000  2 Te 2.38
Te 0.0000 0.0000 0.0000  6 Fe 2.38
Pb 0.5000 0.5000 0.5000  12 Fe 3.37


3.
The following is a DFT calculation (GGA-PBE) of an optimized crystal structure of Fe2TePb.

Density: 9.57 g cm⁻³
Total energy: -5.44 eV per atom

Cell lengths 3.3867, 3.3867, 6.7563 Å; angles 90.00, 90.00, 90.00 degrees
Last column: nearest neighbours and their distance in Å.
Fractional positions:
Fe 0.0000 0.0000 0.1915  1 Fe 2.59, 4 Te 2.72
Fe 0.0000 0.0000 0.8085  1 Fe 2.59, 4 Te 2.72
Te 0.5000 0.5000 0.0000  8 Fe 2.72
Pb 0.5000 0.5000 0.5000  8 Fe 3.17, 2 Te 3.38, 4 Pb 3.39


4.
The following is a DFT calculation (GGA-PBE) of an optimized crystal structure of Fe2TePb.

Density: 9.90 g cm⁻³
Total energy: -5.37 eV per atom

Cell lengths 6.6575, 6.6387, 3.3880 Å; angles 90.00, 90.38, 90.00 degrees
Last column: nearest neighbours and their distance in Å.
Fractional positions:
Fe 0.2500 0.2500 0.0000  4 Pb 2.89-2.90, 4 Te 2.89-2.90
Fe 0.2500 0.7500 0.0000  4 Te 2.89-2.90, 4 Pb 2.89-2.90
Fe 0.7500 0.2500 0.0000  4 Pb 2.89-2.90, 4 Te 2.89-2.90
Fe 0.7500 0.7500 0.0000  4 Pb 2.89-2.90, 4 Te 2.89-2.90
Te 0.0000 0.0000 0.5000  8 Fe 2.89-2.90
Te 0.5000 0.5000 0.5000  8 Fe 2.89-2.90
Pb 0.0000 0.5000 0.5000  8 Fe 2.89-2.90
Pb 0.5000 0.0000 0.5000  8 Fe 2.89-2.90


5.
The following is a DFT calculation (GGA-PBE) of an optimized crystal structure of Fe2TePb.

Density: 8.38 g cm⁻³
Total energy: -5.52 eV per atom

Cell lengths 8.9189, 3.2388, 7.0546 Å; angles 90.00, 119.76, 90.00 degrees
Last column: nearest neighbours and their distance in Å.
Fractional positions:
Fe 0.2243 0.0000 0.3571  2 Fe 2.45, 3 Te 2.65-2.69
Fe 0.2757 0.5000 0.6429  2 Fe 2.45, 3 Te 2.65-2.69
Fe 0.7243 0.5000 0.3571  2 Fe 2.45, 3 Te 2.65-2.69
Fe 0.7757 0.0000 0.6429  2 Fe 2.45, 3 Te 2.65-2.69
Te 0.0000 0.0000 0.5000  6 Fe 2.65-2.69
Te 0.5000 0.5000 0.5000  6 Fe 2.65-2.69
Pb 0.0000 0.5000 0.0000  4 Fe 2.82
Pb 0.5000 0.0000 0.0000  4 Fe 2.82


6.
The following is a DFT calculation (GGA-PBE) of an optimized crystal structure of Fe2Te2Pb.

Density: 8.60 g cm⁻³
Total energy: -5.17 eV per atom

Cell lengths 4.0309, 4.0309, 13.6445 Å; angles 90.00, 90.00, 90.00 degrees
Last column: nearest neighbours and their distance in Å.
Fractional positions:
Fe 0.0000 0.5000 0.2500  4 Te 2.49
Fe 0.0000 0.5000 0.7500  4 Te 2.49
Fe 0.5000 0.0000 0.2500  4 Te 2.49
Fe 0.5000 0.0000 0.7500  4 Te 2.49
Te 0.0000 0.0000 0.1430  4 Fe 2.49
Te 0.0000 0.0000 0.8570  4 Fe 2.49
Te 0.5000 0.5000 0.3570  4 Fe 2.49
Te 0.5000 0.5000 0.6430  4 Fe 2.49
Pb 0.0000 0.0000 0.5000  8 Te 3.45
Pb 0.5000 0.5000 0.0000  8 Te 3.45


7.
The following is a DFT calculation (GGA-PBE) of an optimized crystal structure of Fe2TePb.

Density: 9.43 g cm⁻³
Total energy: -5.67 eV per atom

Cell lengths 4.1323, 3.7645, 10.1132 Å; angles 90.00, 90.00, 90.00 degrees
Last column: nearest neighbours and their distance in Å.
Fractional positions:
Fe 0.0000 0.0000 0.0000  2 Fe 2.44
Fe 0.0000 0.5000 0.5000  2 Fe 2.44
Fe 0.5000 0.0000 0.1291  2 Fe 2.44, 2 Te 2.73
Fe 0.5000 0.5000 0.6291  2 Fe 2.44, 2 Te 2.73
Te 0.5000 0.0000 0.4332  6 Fe 2.73-2.88
Te 0.5000 0.5000 0.9332  6 Fe 2.73-2.88
Pb 0.0000 0.0000 0.7166  7 Fe 2.87-2.93
Pb 0.0000 0.5000 0.2166  7 Fe 2.87-2.93


8.
The following is a DFT calculation (GGA-PBE) of an optimized crystal structure of FeTePb3.

Density: 9.80 g cm⁻³
Total energy: -4.47 eV per atom

Cell lengths 5.1475, 5.1475, 5.1475 Å; angles 90.00, 90.00, 90.00 degrees
Last column: nearest neighbours and their distance in Å.
Fractional positions:
Fe 0.0000 0.0000 0.0000  6 Pb 2.57
Te 0.5000 0.5000 0.5000  12 Pb 3.64
Pb 0.0000 0.0000 0.5000  2 Fe 2.57
Pb 0.0000 0.5000 0.0000  2 Fe 2.57
Pb 0.5000 0.0000 0.0000  2 Fe 2.57


| no. | ΔE_f (raw) (eV per atom) |
| --- | --- |
| 1 | 0.634 |
| 2 | 0.981 |
| 3 | 0.509 |
| 4 | 0.579 |
| 5 | 0.422 |
| 6 | 0.216 |
| 7 | 0.273 |
| 8 | 0.075 |